1.
RbC3 | PBE | relaxed

Values from the calculation:
* crystal system: orthorhombic
* E_tot: -2.852 eV/atom
* ΔE_f: 4.308 eV/atom

Cell lengths 6.626, 6.649, 2.885 Å; angles 90.00, 90.00, 90.00 degrees
Space group Cmmm (No. 65)
One atom of each set of equivalent atoms:
Rb 0.000 0.000 0.000 [2 per cell]
C 0.000 0.500 0.000 [2 per cell]
C 0.250 0.250 0.500 [4 per cell]


2.
Rb2C | PBE | relaxed

Values from the calculation:
* crystal system: trigonal
* E_tot: -2.287 eV/atom
* ΔE_f: 1.433 eV/atom

Cell lengths 4.6770, 4.6770, 7.5883 Å; angles 90.00, 90.00, 120.00 degrees
Space group P-3m1 (No. 164)
One atom of each set of equivalent atoms:
Rb 0.3333 0.6667 0.2059 [2 per cell]
C 0.0000 0.0000 0.0000 [1 per cell]


3.
Rb2C | PBE | relaxed

Values from the calculation:
* crystal system: hexagonal
* E_tot: -1.846 eV/atom
* ΔE_f: 1.874 eV/atom

Cell lengths 5.5504, 5.5504, 4.0159 Å; angles 90.00, 90.00, 120.00 degrees
Space group P6/mmm (No. 191)
One atom of each set of equivalent atoms:
Rb 0.3333 0.6667 0.0000 [2 per cell]
C 0.0000 0.0000 0.5000 [1 per cell]


4.
RbC | PBE | relaxed

Values from the calculation:
* crystal system: tetragonal
* E_tot: -4.730 eV/atom
* ΔE_f: 0.366 eV/atom

Cell lengths 7.288, 7.288, 5.359 Å; angles 90.00, 90.00, 90.00 degrees
Space group P4_2/mnm (No. 136)
One atom of each set of equivalent atoms:
Rb 0.202 0.202 0.000 [4 per cell]
C 0.062 0.062 0.500 [4 per cell]


5.
Rb2C | PBE | relaxed

Values from the calculation:
* crystal system: cubic
* E_tot: -1.563 eV/atom
* ΔE_f: 2.157 eV/atom

Cell lengths 11.293, 11.293, 11.293 Å; angles 90.00, 90.00, 90.00 degrees
Space group Fd-3m (No. 227, origin choice 2)
One atom of each set of equivalent atoms:
Rb 0.000 0.000 0.000 [16 per cell]
C 0.125 0.125 0.625 [8 per cell]


6.
RbC | PBE | relaxed

Values from the calculation:
* crystal system: orthorhombic
* E_tot: -4.802 eV/atom
* ΔE_f: 0.294 eV/atom

Cell lengths 5.204, 8.964, 15.954 Å; angles 90.00, 90.00, 90.00 degrees
Space group P2_12_12_1 (No. 19)
One atom of each set of equivalent atoms:
Rb 0.238 0.051 0.070 [4 per cell]
Rb 0.248 0.408 0.665 [4 per cell]
C 0.086 0.746 0.996 [4 per cell]
C 0.162 0.255 0.494 [4 per cell]


Q: Which of these has the highest E_tot?
A: number 5